Record 1
VASP calculation (GGA-PBE) on TaInNiHg after structural relaxation.

Unit cell a=4.6569 b=4.6569 c=4.6569 alpha=60.00 beta=60.00 gamma=60.00
Last column: nearest neighbours and their distance in Å.
Element x y z (fractional)
Ni: 0.7500 0.7500 0.7500  4 Hg 2.85, 4 In 2.85
Hg: 0.5000 0.5000 0.5000  4 Ni 2.85, 4 Ta 2.85
Ta: 0.2500 0.2500 0.2500  4 Hg 2.85, 4 In 2.85
In: 0.0000 0.0000 0.0000  4 Ni 2.85, 4 Ta 2.85

Calculated values
Its space-group type is F-43m, No. 216.

---

Record 2
VASP calculation (GGA-PBE) on Tm2SiMo2C2 after structural relaxation.

Unit cell a=6.7598 b=6.7598 c=5.6393 alpha=99.13 beta=99.13 gamma=27.74
Last column: nearest neighbours and their distance in Å.
Element x y z (fractional)
Si: 0.0000 0.0000 0.0000  2 Mo 2.40
Tm: 0.3639 0.3639 0.6223  3 C 2.40-2.45
Mo: 0.8318 0.8318 0.1152  3 C 2.10-2.12
Mo: 0.1682 0.1682 0.8848  3 C 2.10-2.12
Tm: 0.6361 0.6361 0.3777  3 C 2.40-2.45
C: 0.7471 0.7471 0.7618  3 Mo 2.10-2.12
C: 0.2529 0.2529 0.2382  3 Mo 2.10-2.12

Calculated values
Its space-group type is C2/m, No. 12.

---

Record 3
VASP calculation (GGA-PBE) on SnTePtO after structural relaxation.

Unit cell a=6.8084 b=17.0695 c=6.8482 alpha=90.00 beta=90.00 gamma=90.00
Last column: nearest neighbours and their distance in Å.
Element x y z (fractional)
O: 0.8941 0.2422 0.6333  3 Sn 2.17-2.39
Sn: 0.2327 0.2943 0.1096  3 O 2.17-2.39
O: 0.3941 0.2422 0.8667  3 Sn 2.17-2.39
Pt: 0.7484 0.4458 0.4541  4 Te 2.60-2.69, 1 Sn 2.62
Pt: 0.7516 0.5542 0.9541  4 Te 2.60-2.69, 1 Sn 2.62
Pt: 0.2516 0.9458 0.0459  4 Te 2.60-2.69, 1 Sn 2.62
Sn: 0.7327 0.2943 0.3904  3 O 2.17-2.39
O: 0.6059 0.7422 0.6333  3 Sn 2.17-2.39
O: 0.1059 0.7578 0.3667  3 Sn 2.17-2.39
Sn: 0.7327 0.2057 0.8904  3 O 2.17-2.39
O: 0.3941 0.2578 0.3667  3 Sn 2.17-2.39
Sn: 0.7673 0.7943 0.3904  3 O 2.17-2.39
Te: 0.5005 0.4726 0.7529  4 Pt 2.60-2.69
Te: 0.0005 0.0274 0.2471  4 Pt 2.60-2.69
Pt: 0.2484 0.0542 0.5459  4 Te 2.60-2.69, 1 Sn 2.62
Pt: 0.7516 0.9458 0.4541  4 Te 2.60-2.69, 1 Sn 2.62
Te: 0.4995 0.9726 0.7471  4 Pt 2.60-2.69
Sn: 0.7673 0.7057 0.8904  3 O 2.17-2.39
O: 0.6059 0.7578 0.1333  3 Sn 2.17-2.39
Te: 0.9995 0.9726 0.7529  4 Pt 2.60-2.69
Te: 0.5005 0.0274 0.2529  4 Pt 2.60-2.69
Pt: 0.2516 0.5542 0.5459  4 Te 2.60-2.69, 1 Sn 2.62
Te: 0.4995 0.5274 0.2471  4 Pt 2.60-2.69
O: 0.1059 0.7422 0.8667  3 Sn 2.17-2.39
Pt: 0.2484 0.4458 0.0459  4 Te 2.60-2.69, 1 Sn 2.62
Te: 0.0005 0.4726 0.7471  4 Pt 2.60-2.69
Te: 0.9995 0.5274 0.2529  4 Pt 2.60-2.69
Sn: 0.2673 0.7057 0.6096  3 O 2.17-2.39
O: 0.8941 0.2578 0.1333  3 Sn 2.17-2.39
Sn: 0.2673 0.7943 0.1096  3 O 2.17-2.39
Pt: 0.7484 0.0542 0.9541  4 Te 2.60-2.69, 1 Sn 2.62
Sn: 0.2327 0.2057 0.6096  3 O 2.17-2.39

Calculated values
Its space-group type is Pbca, No. 61.

---

Record 4
VASP calculation (GGA-PBE) on TbGdIn4Fe2 after structural relaxation.

Unit cell a=7.5267 b=5.7598 c=5.7598 alpha=44.06 beta=90.00 gamma=90.00
Last column: nearest neighbours and their distance in Å.
Element x y z (fractional)
In: 0.6994 0.8589 0.8589  3 Fe 2.73-2.76, 1 In 3.00
Fe: 0.5000 0.2891 0.2891  6 In 2.73-2.76, 1 Tb 2.98
In: 0.2001 0.1411 0.1411  3 Fe 2.74-2.76, 1 In 3.01
Gd: 0.0000 0.4316 0.4316  3 Fe 2.98-3.20, 4 In 3.22
In: 0.7999 0.1411 0.1411  3 Fe 2.74-2.76, 1 In 3.01
Fe: 0.0000 0.7110 0.7110  6 In 2.74-2.76, 1 Gd 2.98
Tb: 0.5000 0.5685 0.5685  3 Fe 2.98-3.20, 4 In 3.22
In: 0.3006 0.8589 0.8589  3 Fe 2.73-2.76, 1 In 3.00

Calculated values
Its space-group type is Amm2, No. 38.

---

Record 5
VASP calculation (GGA-PBE) on TlCu3S2 after structural relaxation.

Unit cell a=7.5253 b=7.5253 c=8.3831 alpha=110.89 beta=110.89 gamma=29.56
Last column: nearest neighbours and their distance in Å.
Element x y z (fractional)
Tl: 0.8602 0.8602 0.9526  7 S 3.26-3.48, 3 Cu 3.54-3.59
S: 0.5228 0.5228 0.2289  4 Cu 2.28-2.35
S: 0.8118 0.8118 0.3296  4 Cu 2.24-2.35
Cu: 0.0579 0.0579 0.4022  3 S 2.35
Cu: 0.3137 0.3137 0.5758  2 S 2.24-2.34
Cu: 0.6863 0.6863 0.4242  2 S 2.24-2.34
Cu: 0.5905 0.5905 0.6418  3 S 2.28-2.35
S: 0.4772 0.4772 0.7711  4 Cu 2.28-2.35
Cu: 0.9421 0.9421 0.5978  3 S 2.35
Cu: 0.4095 0.4095 0.3582  3 S 2.28-2.35
Tl: 0.1398 0.1398 0.0474  7 S 3.26-3.48, 3 Cu 3.54-3.59
S: 0.1882 0.1882 0.6704  4 Cu 2.24-2.35

Calculated values
Its space-group type is C2/m, No. 12.

---

Record 6
VASP calculation (GGA-PBE) on Ho4CI2BrCl2 after structural relaxation.

Unit cell a=9.1113 b=9.1113 c=8.1574 alpha=101.05 beta=101.05 gamma=24.27
Last column: nearest neighbours and their distance in Å.
Element x y z (fractional)
Cl: 0.1652 0.1652 0.8420  3 Ho 2.74-2.85
I: 0.8306 0.8306 0.6511  3 Ho 3.00-3.07
I: 0.1694 0.1694 0.3489  3 Ho 3.00-3.07
Br: 0.5000 0.5000 0.5000  4 Ho 3.11
Cl: 0.8348 0.8348 0.1580  3 Ho 2.74-2.85
C: 0.5000 0.5000 0.0000  6 Ho 2.37-2.51
Ho: 0.6359 0.6359 0.0605  1 C 2.37
Ho: 0.9971 0.9971 0.1979  2 C 2.51
Ho: 0.0029 0.0029 0.8021  2 C 2.51
Ho: 0.3641 0.3641 0.9395  1 C 2.37

Calculated values
Its space-group type is C2/m, No. 12.

---

Record 7
VASP calculation (GGA-PBE) on NaTcHg after structural relaxation.

Unit cell a=4.5733 b=4.5733 c=4.5733 alpha=60.00 beta=60.00 gamma=60.00
Last column: nearest neighbours and their distance in Å.
Element x y z (fractional)
Tc: 0.7500 0.7500 0.7500  4 Na 2.80
Na: 0.0000 0.0000 0.0000  4 Hg 2.80, 4 Tc 2.80
Hg: 0.2500 0.2500 0.2500  4 Na 2.80

Calculated values
Its space-group type is F-43m, No. 216.

---

Record 8
VASP calculation (GGA-PBE) on LiZrAgS3 after structural relaxation.

Unit cell a=12.3455 b=3.7049 c=10.6812 alpha=90.00 beta=90.00 gamma=90.00
Last column: nearest neighbours and their distance in Å.
Element x y z (fractional)
Ag: 0.9639 0.2500 0.9129  2 S 2.42-2.60
S: 0.8651 0.2500 0.7175  1 Ag 2.42, 1 Li 2.42, 2 Zr 2.57
Zr: 0.5028 0.7500 0.8316  6 S 2.53-2.80
S: 0.1349 0.7500 0.2825  1 Ag 2.42, 1 Li 2.42, 2 Zr 2.57
Ag: 0.4639 0.2500 0.5871  2 S 2.42-2.60
S: 0.3651 0.2500 0.7825  1 Ag 2.42, 1 Li 2.42, 2 Zr 2.57
S: 0.6192 0.7500 0.6363  1 Zr 2.53, 2 Li 2.60, 3 Ag 2.60-2.72
Zr: 0.0028 0.7500 0.6684  6 S 2.53-2.80
S: 0.6152 0.2500 0.9440  3 Zr 2.61-2.80, 2 Li 2.76
S: 0.8848 0.7500 0.4440  3 Zr 2.61-2.80, 2 Li 2.76
Zr: 0.9972 0.2500 0.3316  6 S 2.53-2.80
S: 0.1192 0.7500 0.8637  1 Zr 2.53, 2 Li 2.60, 3 Ag 2.60-2.72
Zr: 0.4972 0.2500 0.1684  6 S 2.53-2.80
Li: 0.7414 0.2500 0.5412  3 S 2.42-2.60
S: 0.6349 0.7500 0.2175  1 Ag 2.42, 1 Li 2.42, 2 Zr 2.57
S: 0.3808 0.2500 0.3637  1 Zr 2.53, 2 Li 2.60, 3 Ag 2.60-2.72
Ag: 0.0361 0.7500 0.0871  2 S 2.42-2.60
Ag: 0.5361 0.7500 0.4129  2 S 2.42-2.60
Li: 0.2414 0.2500 0.9588  3 S 2.42-2.60
Li: 0.7586 0.7500 0.0412  3 S 2.42-2.60
S: 0.1152 0.2500 0.5560  3 Zr 2.61-2.80, 2 Li 2.76
S: 0.3848 0.7500 0.0560  3 Zr 2.61-2.80, 2 Li 2.76
Li: 0.2586 0.7500 0.4588  3 S 2.42-2.60
S: 0.8808 0.2500 0.1363  1 Zr 2.53, 2 Li 2.60, 3 Ag 2.60-2.72

Calculated values
Its space-group type is Pnma, No. 62.

---

Record 9
VASP calculation (GGA-PBE) on NdAsN2O after structural relaxation.

Unit cell a=5.4963 b=5.5680 c=9.4492 alpha=73.12 beta=87.59 gamma=60.50
Last column: nearest neighbours and their distance in Å.
Element x y z (fractional)
O: 0.8437 0.2082 0.1086  1 As 1.88
Nd: 0.8786 0.2845 0.6312  3 O 2.42-2.69, 3 N 2.45-2.61
N: 0.3436 0.3785 0.5885  1 As 1.81
As: 0.0148 0.9517 0.9956  3 O 1.84-1.88, 3 N 2.00-2.03
O: 0.0861 0.2268 0.8678  1 As 1.85
O: 0.0591 0.2049 0.3789  1 As 1.87
N: 0.3831 0.8394 0.6587  2 As 1.85-1.88
N: 0.8531 0.8538 0.6377  2 As 1.81-1.85
N: 0.6620 0.7203 0.4049  2 As 1.88-1.95
Nd: 0.3831 0.2280 0.1170  4 N 2.39-2.48, 1 O 2.48
As: 0.5330 0.0113 0.5073  4 N 1.85-1.95
N: 0.5253 0.3000 0.3391  2 As 1.89-1.97
As: 0.2216 0.6069 0.7077  4 N 1.81-1.87
N: 0.2198 0.6417 0.8992  2 As 1.87-2.00
N: 0.3849 0.7859 0.1193  2 As 1.98-2.02
N: 0.9417 0.6525 0.1413  2 As 1.91-2.03
O: 0.6736 0.1256 0.8831  1 As 1.84
Nd: 0.6656 0.6954 0.8998  3 O 2.38-2.59, 3 N 2.50-2.61
Nd: 0.1036 0.7671 0.3473  2 O 2.43-2.60, 5 N 2.49-2.61
As: 0.7238 0.5177 0.2669  1 O 1.87, 4 N 1.88-1.98

Calculated values
Its space-group type is P1, No. 1.

---

Record 10
VASP calculation (GGA-PBE) on MgNbTlCu after structural relaxation.

Unit cell a=4.7295 b=4.7295 c=4.7295 alpha=60.00 beta=60.00 gamma=60.00
Last column: nearest neighbours and their distance in Å.
Element x y z (fractional)
Nb: 0.2500 0.2500 0.2500  4 Tl 2.90, 4 Mg 2.90
Tl: 0.0000 0.0000 0.0000  4 Nb 2.90, 4 Cu 2.90
Cu: 0.7500 0.7500 0.7500  4 Mg 2.90, 4 Tl 2.90
Mg: 0.5000 0.5000 0.5000  4 Cu 2.90, 4 Nb 2.90

Calculated values
Its space-group type is F-43m, No. 216.

---

Record 11
VASP calculation (GGA-PBE) on Hf2B2S after structural relaxation.

Unit cell a=6.6409 b=6.6409 c=3.2870 alpha=90.00 beta=90.00 gamma=152.89
Last column: nearest neighbours and their distance in Å.
Element x y z (fractional)
B: 0.2261 0.7739 0.0000  2 B 1.67
B: 0.7739 0.2261 0.0000  2 B 1.67
Hf: 0.3622 0.6378 0.5000  6 B 2.41-2.53
Hf: 0.6378 0.3622 0.5000  6 B 2.41-2.53
S: 0.0000 0.0000 0.0000  8 Hf 2.88, 2 B 2.92, 2 S 3.11

Calculated values
Its space-group type is Cmmm, No. 65.

---

Record 12
VASP calculation (GGA-PBE) on Nb2Cd3Se3 after structural relaxation.

Unit cell a=5.8763 b=3.3737 c=9.5097 alpha=90.00 beta=95.40 gamma=90.00
Last column: nearest neighbours and their distance in Å.
Element x y z (fractional)
Nb: 0.7650 0.0000 0.7143  3 Se 2.45-2.52
Se: 0.5000 0.0000 0.5000  2 Nb 2.45
Cd: 0.7392 0.0000 0.2097  2 Nb 2.93-3.12, 1 Se 3.21
Cd: 0.0000 0.5000 0.5000  4 Nb 3.07, 2 Cd 3.37, 4 Se 3.39
Nb: 0.2350 0.0000 0.2857  3 Se 2.45-2.52
Se: 0.2648 0.5000 0.0911  2 Nb 2.52
Se: 0.7352 0.5000 0.9089  2 Nb 2.52
Cd: 0.2608 0.0000 0.7903  2 Nb 2.93-3.12, 1 Se 3.21

Calculated values
Its space-group type is P2/m, No. 10.

---

Record 13
VASP calculation (GGA-PBE) on SmZnB after structural relaxation.

Unit cell a=4.2496 b=4.2496 c=4.2496 alpha=60.00 beta=60.00 gamma=60.00
Last column: nearest neighbours and their distance in Å.
Element x y z (fractional)
B: 0.0000 0.0000 0.0000  4 Zn 2.60, 4 Sm 2.60
Zn: 0.7500 0.7500 0.7500  4 B 2.60
Sm: 0.2500 0.2500 0.2500  4 B 2.60

Calculated values
Its space-group type is F-43m, No. 216.

---

Record 14
VASP calculation (GGA-PBE) on Al4Ni25 after structural relaxation.

Unit cell a=7.4740 b=7.4740 c=7.4740 alpha=109.47 beta=109.47 gamma=109.47
Last column: nearest neighbours and their distance in Å.
Element x y z (fractional)
Ni: 0.3160 0.7251 0.3160  7 Ni 2.34-2.50, 1 Al 2.43
Al: 0.0000 0.0000 0.6442  10 Ni 2.43-2.66
Ni: 0.8143 0.6238 0.6238  8 Ni 2.27-2.50
Al: 0.0000 0.6442 0.0000  10 Ni 2.43-2.66
Al: 0.3558 0.3558 0.3558  10 Ni 2.43-2.66
Ni: 0.1857 0.8095 0.8095  8 Ni 2.27-2.50
Ni: 0.5908 0.5908 0.2749  7 Ni 2.34-2.50, 1 Al 2.43
Ni: 0.8095 0.8095 0.1857  8 Ni 2.27-2.50
Ni: 0.5908 0.2749 0.5908  7 Ni 2.34-2.50, 1 Al 2.43
Ni: 0.3762 0.0000 0.1905  8 Ni 2.27-2.50
Ni: 0.1905 0.0000 0.3762  8 Ni 2.27-2.50
Ni: 0.4092 0.0000 0.6840  7 Ni 2.34-2.50, 1 Al 2.43
Ni: 0.6840 0.4092 0.0000  7 Ni 2.34-2.50, 1 Al 2.43
Ni: 0.4092 0.6840 0.0000  7 Ni 2.34-2.50, 1 Al 2.43
Ni: 0.8095 0.1857 0.8095  8 Ni 2.27-2.50
Ni: 0.1905 0.3762 0.0000  8 Ni 2.27-2.50
Ni: 0.2749 0.5908 0.5908  7 Ni 2.34-2.50, 1 Al 2.43
Ni: 0.6238 0.8143 0.6238  8 Ni 2.27-2.50
Ni: 0.7251 0.3160 0.3160  7 Ni 2.34-2.50, 1 Al 2.43
Ni: 0.0000 0.1905 0.3762  8 Ni 2.27-2.50
Ni: 0.6840 0.0000 0.4092  7 Ni 2.34-2.50, 1 Al 2.43
Ni: 0.3160 0.3160 0.7251  7 Ni 2.34-2.50, 1 Al 2.43
Ni: 0.3762 0.1905 0.0000  8 Ni 2.27-2.50
Ni: 0.6238 0.6238 0.8143  8 Ni 2.27-2.50
Ni: 0.0000 0.3762 0.1905  8 Ni 2.27-2.50
Ni: 0.0000 0.4092 0.6840  7 Ni 2.34-2.50, 1 Al 2.43
Al: 0.6442 0.0000 0.0000  10 Ni 2.43-2.66
Ni: 0.0000 0.0000 0.0000  4 Al 2.66, 12 Ni 2.70
Ni: 0.0000 0.6840 0.4092  7 Ni 2.34-2.50, 1 Al 2.43

Calculated values
Its space-group type is I-43m, No. 217.

---

Record 15
VASP calculation (GGA-PBE) on RbZrHg after structural relaxation.

Unit cell a=5.5498 b=5.5498 c=5.5498 alpha=60.00 beta=60.00 gamma=60.00
Last column: nearest neighbours and their distance in Å.
Element x y z (fractional)
Zr: 0.7500 0.7500 0.7500  4 Rb 3.40
Rb: 0.0000 0.0000 0.0000  4 Hg 3.40, 4 Zr 3.40
Hg: 0.2500 0.2500 0.2500  4 Rb 3.40

Calculated values
Its space-group type is F-43m, No. 216.

---

Record 16
VASP calculation (GGA-PBE) on GdCuSi2Ni after structural relaxation.

Unit cell a=5.6073 b=5.6073 c=5.6073 alpha=138.27 beta=138.27 gamma=60.48
Last column: nearest neighbours and their distance in Å.
Element x y z (fractional)
Si: 0.3731 0.8731 0.5000  2 Ni 2.34, 2 Cu 2.34, 1 Si 2.39
Gd: 0.7500 0.2500 0.5000  8 Si 3.07, 4 Ni 3.14, 4 Cu 3.14
Si: 0.1269 0.6269 0.5000  2 Ni 2.34, 2 Cu 2.34, 1 Si 2.39
Ni: 0.5000 0.5000 0.0000  4 Si 2.34
Cu: 0.0000 0.0000 0.0000  4 Si 2.34

Calculated values
Its space-group type is I-4m2, No. 119.

---

Record 17
VASP calculation (GGA-PBE) on SiAgBi after structural relaxation.

Unit cell a=4.6966 b=4.6966 c=4.6966 alpha=60.00 beta=60.00 gamma=60.00
Last column: nearest neighbours and their distance in Å.
Element x y z (fractional)
Bi: 0.7500 0.7500 0.7500  4 Si 2.88
Si: 0.0000 0.0000 0.0000  4 Bi 2.88, 4 Ag 2.88
Ag: 0.2500 0.2500 0.2500  4 Si 2.88

Calculated values
Its space-group type is F-43m, No. 216.

---

Record 18
VASP calculation (GGA-PBE) on HfAlNi after structural relaxation.

Unit cell a=7.6623 b=7.6623 c=2.8294 alpha=90.00 beta=90.00 gamma=120.00
Last column: nearest neighbours and their distance in Å.
Element x y z (fractional)
Hf: 0.7029 0.7029 0.0000  4 Al 2.68-2.70, 2 Hf 2.83, 6 Ni 2.94
Al: 0.3333 0.6667 0.0000  3 Hf 2.70, 6 Ni 2.82, 2 Al 2.83
Ni: 0.3660 0.3660 0.5000  5 Al 2.80-2.82, 2 Ni 2.83, 6 Hf 2.94
Al: 0.6667 0.3333 0.0000  3 Hf 2.70, 6 Ni 2.82, 2 Al 2.83
Hf: 0.2971 0.0000 0.0000  4 Al 2.68-2.70, 2 Hf 2.83, 6 Ni 2.94
Hf: 0.0000 0.2971 0.0000  4 Al 2.68-2.70, 2 Hf 2.83, 6 Ni 2.94
Al: 0.0000 0.0000 0.5000  6 Hf 2.68, 3 Ni 2.80, 2 Al 2.83
Ni: 0.0000 0.6340 0.5000  5 Al 2.80-2.82, 2 Ni 2.83, 6 Hf 2.94
Ni: 0.6340 0.0000 0.5000  5 Al 2.80-2.82, 2 Ni 2.83, 6 Hf 2.94

Calculated values
Its space-group type is P-62m, No. 189.

---

Record 19
VASP calculation (GGA-PBE) on Na2AlTe4Ir after structural relaxation.

Unit cell a=6.7052 b=6.7052 c=6.7052 alpha=109.29 beta=109.29 gamma=109.84
Last column: nearest neighbours and their distance in Å.
Element x y z (fractional)
Na: 0.7500 0.2500 0.5000  8 Te 3.44-3.47
Al: 0.2500 0.7500 0.5000  4 Te 2.65
Te: 0.9007 0.8212 0.5521  1 Ir 2.58, 1 Al 2.65
Te: 0.6514 0.0993 0.9205  1 Ir 2.58, 1 Al 2.65
Te: 0.1788 0.7309 0.0795  1 Ir 2.58, 1 Al 2.65
Te: 0.2691 0.3486 0.4479  1 Ir 2.58, 1 Al 2.65
Ir: 0.0000 0.0000 0.0000  4 Te 2.58
Na: 0.5000 0.5000 0.0000  4 Te 3.13

Calculated values
Its space-group type is I-4, No. 82.

---

Record order is preserved below.
Calculated density: 12.91 8.17 7.63 8.48 7.00 6.55 7.90 4.11 7.31 8.55 10.32 6.72 6.93 8.14 5.18 7.21 7.82 9.15 5.55 g/cm³
Record order is preserved below.
Volume: 71.4 118.3 99.5 173.6 108.8 272.9 67.6 122.1 59.8 74.8 66.1 187.7 54.3 321.4 120.9 77.3 73.3 48.0 232.1 Å³/f.u.
Record order is preserved below.
Energy: -18.58 -56.63 -164.24 -38.20 -46.16 -49.68 -7.91 -128.57 -139.88 -15.75 -41.51 -34.27 -12.95 -158.22 -5.29 -28.41 -11.23 -59.00 -30.59 eV per cell